{
  "formula": "Ta5Tc",
  "functional": "GGA-PBEsol",
  "state": "relaxed",
  "space_group": "Cmmm (65)",
  "n_ef_per_ev_atom": 0.914,
  "formation_enthalpy_0k_mev_per_atom": -163,
  "polymorph_energy_ev_per_fu": 0.06,
  "cell": [[-2.112, -2.309, -0.775], [-0.198, -1.304, 4.427], [-4.082, 5.503, 1.439]],
  "species": ["Tc", "Ta", "Ta", "Ta", "Ta", "Ta"],
  "frac_coords": [[0.000, 0.500, 0.000], [0.168, 0.000, 0.336], [0.832, 0.000, 0.664], [0.500, 0.000, 0.000], [0.661, 0.500, 0.322], [0.339, 0.500, 0.678]]
}

{
  "formula": "Ta5Tc3",
  "functional": "GGA-PBEsol",
  "state": "relaxed",
  "space_group": "Cmmm (65)",
  "n_ef_per_ev_atom": 0.440,
  "formation_enthalpy_0k_mev_per_atom": -349,
  "cell": [[4.493, 0.000, 0.000], [0.000, 5.510, -0.002], [0.000, -1.830, 5.197]],
  "species": ["Tc", "Tc", "Tc", "Ta", "Ta", "Ta", "Ta", "Ta"],
  "frac_coords": [[0.000, 0.500, 0.500], [0.500, 0.751, 0.249], [0.500, 0.249, 0.751], [0.000, 0.000, 0.000], [0.000, 0.500, 0.000], [0.000, 0.000, 0.500], [0.500, 0.746, 0.746], [0.500, 0.254, 0.254]]
}

{
  "formula": "Ta2Tc",
  "functional": "GGA-PBEsol",
  "state": "relaxed",
  "space_group": "I4/mmm (139)",
  "n_ef_per_ev_atom": 0.400,
  "formation_enthalpy_0k_mev_per_atom": -374,
  "polymorph_energy_ev_per_fu": 0.00,
  "cell": [[3.164, 0.000, 0.000], [0.000, 3.164, 0.000], [-1.582, -1.582, 4.881]],
  "species": ["Tc", "Ta", "Ta"],
  "frac_coords": [[0.500, 0.500, 0.000], [0.840, 0.840, 0.680], [0.160, 0.160, 0.320]]
}

{
  "formula": "Ta4Tc",
  "functional": "GGA-PBEsol",
  "state": "relaxed",
  "space_group": "I4/m (87)",
  "n_ef_per_ev_atom": 0.836,
  "formation_enthalpy_0k_mev_per_atom": -214,
  "cell": [[3.177, 0.000, 0.000], [1.588, 5.141, 0.000], [1.588, 0.000, 5.141]],
  "species": ["Tc", "Ta", "Ta", "Ta", "Ta"],
  "frac_coords": [[0.000, 0.000, 0.000], [0.208, 0.198, 0.387], [0.594, 0.613, 0.198], [0.792, 0.802, 0.613], [0.406, 0.387, 0.802]]
}